# Cs2Na2Hg

A relaxed structure of Cs2Na2Hg (GGA-PBE, Alexandria via LeMat-Bulk). Values from VASP.

Structure (Quantum ESPRESSO input):
```
&SYSTEM
  ibrav = 0, nat = 10, ntyp = 3
/
ATOMIC_SPECIES
Cs 132.91 Cs.upf
Na 22.99 Na.upf
Hg 200.59 Hg.upf
ATOMIC_POSITIONS angstrom
Cs 1.655 6.119 3.346
Cs 6.119 7.272 3.346
Cs 7.272 2.809 3.346
Cs 2.809 1.655 3.346
Na 3.182 7.646 0.000
Na 7.646 5.745 0.000
Na 5.745 1.282 0.000
Na 1.282 3.182 0.000
Hg 0.000 0.000 0.000
Hg 4.464 4.464 0.000
CELL_PARAMETERS angstrom
8.927 0.000 0.000
0.000 8.927 0.000
0.000 0.000 6.691
```

Computed properties:
**Raw total energy**: -9.5 eV/cell
**E_form**: -0.02 eV per atom
**Distance to the lowest polymorph of the same formula**: 75.8 meV per atom
**D(E_F)**: 9.976 states/eV per cell

=====

# Cs2Na7Hg2

A relaxed structure of Cs2Na7Hg2 (GGA-PBE, Alexandria via LeMat-Bulk). Values from VASP.

Structure (Quantum ESPRESSO input):
```
&SYSTEM
  ibrav = 0, nat = 11, ntyp = 3
/
ATOMIC_SPECIES
Cs 132.91 Cs.upf
Na 22.99 Na.upf
Hg 200.59 Hg.upf
ATOMIC_POSITIONS angstrom
Cs 3.448 6.361 9.837
Cs 2.818 3.449 3.950
Na 0.060 6.263 5.204
Na 3.031 8.632 6.407
Na 6.206 3.547 8.582
Na 3.236 1.178 7.379
Na -1.173 0.273 2.352
Na -0.769 1.802 5.338
Na 7.036 8.008 8.449
Hg 6.039 1.857 5.729
Hg 2.573 7.407 3.355
CELL_PARAMETERS angstrom
-2.346 0.546 4.703
7.284 -0.137 6.582
1.328 9.401 2.502
```

Computed properties:
**Raw total energy**: -12.3 eV/cell
**E_form**: -0.07 eV per atom
**D(E_F)**: 4.893 states/eV per cell

=====

# Cs2Na2Hg

A relaxed structure of Cs2Na2Hg (GGA-PBE, Alexandria via LeMat-Bulk). Values from VASP.

Structure (Quantum ESPRESSO input):
```
&SYSTEM
  ibrav = 0, nat = 10, ntyp = 3
/
ATOMIC_SPECIES
Cs 132.91 Cs.upf
Na 22.99 Na.upf
Hg 200.59 Hg.upf
ATOMIC_POSITIONS angstrom
Cs 3.564 9.145 0.000
Cs 9.145 7.600 0.000
Cs 7.600 2.018 0.000
Cs 2.018 3.564 0.000
Na 1.289 6.870 2.702
Na 6.870 9.875 2.702
Na 9.875 4.293 2.702
Na 4.293 1.289 2.702
Hg 0.000 0.000 0.000
Hg 5.582 5.582 0.000
CELL_PARAMETERS angstrom
11.164 0.000 0.000
0.000 11.164 0.000
0.000 0.000 5.404
```

Computed properties:
**Raw total energy**: -8.8 eV/cell
**E_form**: 0.05 eV per atom
**Distance to the lowest polymorph of the same formula**: 152.9 meV per atom
**D(E_F)**: 8.014 states/eV per cell

=====

# Cs3Na2Hg8

A relaxed structure of Cs3Na2Hg8 (GGA-PBE, Alexandria via LeMat-Bulk). Values from VASP.

Structure (Quantum ESPRESSO input):
```
&SYSTEM
  ibrav = 0, nat = 13, ntyp = 3
/
ATOMIC_SPECIES
Cs 132.91 Cs.upf
Na 22.99 Na.upf
Hg 200.59 Hg.upf
ATOMIC_POSITIONS angstrom
Cs 0.000 0.000 0.000
Cs 2.902 1.863 6.252
Cs 6.906 6.223 15.341
Na 4.127 4.643 12.160
Na 5.681 3.443 9.434
Hg 3.836 3.819 15.388
Hg 5.972 4.267 6.206
Hg 3.202 6.742 14.191
Hg 6.038 2.552 13.381
Hg 2.531 3.202 9.910
Hg 3.770 5.534 8.212
Hg 6.606 1.344 7.402
Hg 7.277 4.885 11.683
CELL_PARAMETERS angstrom
6.631 -0.473 3.840
2.208 6.507 4.639
0.969 2.053 13.115
```

Computed properties:
**Raw total energy**: -10.3 eV/cell
**E_form**: -0.21 eV per atom
**D(E_F)**: 5.737 states/eV per cell

=====

# Cs2Na6Hg

A relaxed structure of Cs2Na6Hg (GGA-PBE, Alexandria via LeMat-Bulk). Values from VASP.

Structure (Quantum ESPRESSO input):
```
&SYSTEM
  ibrav = 0, nat = 9, ntyp = 3
/
ATOMIC_SPECIES
Cs 132.91 Cs.upf
Na 22.99 Na.upf
Hg 200.59 Hg.upf
ATOMIC_POSITIONS angstrom
Cs 2.444 1.729 4.230
Cs 7.333 5.190 12.702
Na 2.326 1.646 8.462
Na 3.605 5.269 6.246
Na 6.172 1.650 10.686
Na 6.168 1.648 6.246
Na 3.609 5.272 10.686
Na 7.450 5.273 8.469
Hg 4.888 3.460 8.466
CELL_PARAMETERS angstrom
7.329 0.006 4.234
2.442 6.910 4.234
0.005 0.004 8.464
```

Computed properties:
**Raw total energy**: -10.0 eV/cell
**E_form**: -0.01 eV per atom
**D(E_F)**: 2.663 states/eV per cell

=====

# Cs8NaHg2

A relaxed structure of Cs8NaHg2 (GGA-PBE, Alexandria via LeMat-Bulk). Values from VASP.

Structure (Quantum ESPRESSO input):
```
&SYSTEM
  ibrav = 0, nat = 11, ntyp = 3
/
ATOMIC_SPECIES
Cs 132.91 Cs.upf
Na 22.99 Na.upf
Hg 200.59 Hg.upf
ATOMIC_POSITIONS angstrom
Cs 5.251 9.442 2.796
Cs 5.719 6.764 6.789
Cs 1.104 6.280 4.084
Cs 2.436 7.584 -0.769
Cs 3.328 2.478 6.843
Cs 4.660 3.781 1.990
Cs 0.044 3.298 -0.715
Cs 0.512 0.620 3.278
Na 3.839 -0.047 -0.481
Hg -0.635 3.233 6.267
Hg -1.279 6.921 0.769
CELL_PARAMETERS angstrom
7.677 -0.093 -0.962
-1.841 10.138 -4.026
-0.073 0.017 11.062
```

Computed properties:
**Raw total energy**: -9.6 eV/cell
**E_form**: -0.08 eV per atom
**D(E_F)**: 9.061 states/eV per cell

=====

# CsNa4Hg2

A relaxed structure of CsNa4Hg2 (GGA-PBE, Alexandria via LeMat-Bulk). Values from VASP.

Structure (Quantum ESPRESSO input):
```
&SYSTEM
  ibrav = 0, nat = 7, ntyp = 3
/
ATOMIC_SPECIES
Cs 132.91 Cs.upf
Na 22.99 Na.upf
Hg 200.59 Hg.upf
ATOMIC_POSITIONS angstrom
Cs 0.000 0.000 0.000
Na 2.789 2.791 5.297
Na 0.000 2.791 3.134
Na 2.789 0.000 3.226
Na 0.000 0.000 5.389
Hg 2.789 2.791 1.566
Hg 2.789 0.000 6.957
CELL_PARAMETERS angstrom
5.577 0.000 0.000
0.000 5.581 0.000
0.000 -2.791 8.523
```

Computed properties:
**Raw total energy**: -7.6 eV/cell
**E_form**: -0.13 eV per atom
**D(E_F)**: 3.544 states/eV per cell

=====

# Cs2NaHg7

A relaxed structure of Cs2NaHg7 (GGA-PBE, Alexandria via LeMat-Bulk). Values from VASP.

Structure (Quantum ESPRESSO input):
```
&SYSTEM
  ibrav = 0, nat = 10, ntyp = 3
/
ATOMIC_SPECIES
Cs 132.91 Cs.upf
Na 22.99 Na.upf
Hg 200.59 Hg.upf
ATOMIC_POSITIONS angstrom
Cs 2.558 0.000 10.132
Cs 0.000 2.558 3.617
Na 2.558 2.558 0.000
Hg 0.000 2.558 11.848
Hg 2.558 0.000 5.082
Hg 2.558 0.000 1.901
Hg 0.000 2.558 8.667
Hg 0.000 0.000 6.875
Hg 0.000 0.000 0.000
Hg 2.558 2.558 6.875
CELL_PARAMETERS angstrom
5.116 0.000 0.000
0.000 5.116 0.000
0.000 0.000 13.749
```

Computed properties:
**Raw total energy**: -7.3 eV/cell
**E_form**: -0.22 eV per atom
**D(E_F)**: 3.497 states/eV per cell